Arrangement one

An optimized crystal structure of YCoReAs. Source: OQMD, functional PBE.

Structure (POSCAR):
```
YCoReAs
1.0
0.000 3.248 3.248
3.248 0.000 3.248
3.248 3.248 0.000
As Co Re Y
1 1 1 1
Cartesian
0.000 0.000 0.000
4.872 4.872 4.872
3.248 3.248 3.248
1.624 1.624 1.624
```

Results
SG   F-43m
Volume   68.5 Å³ per cell

=====

Arrangement two

An optimized crystal structure of YCoReAs. Source: OQMD, functional PBE.

Structure (POSCAR):
```
YCoReAs
1.0
0.000 3.182 3.182
3.182 0.000 3.182
3.182 3.182 0.000
As Co Re Y
1 1 1 1
Cartesian
0.000 0.000 0.000
4.773 4.773 4.773
1.591 1.591 1.591
3.182 3.182 3.182
```

Results
SG   F-43m
Volume   64.4 Å³ per cell

=====

Least stable of them? arrangement one.